Entry 1
Below is a relaxed structure of HgMo3O, with properties calculated at the PBE+U level.

Cell and atoms, written as CIF:
```
data_HgMo3O
_chemical_formula_sum 'Hg1 Mo3 O1'
_cell_length_a 4.2287
_cell_length_b 4.2287
_cell_length_c 4.2287
_cell_angle_alpha 90.00
_cell_angle_beta 90.00
_cell_angle_gamma 90.00
_space_group_name_H-M_alt 'P 1'
_space_group_IT_number 1
loop_
_space_group_symop_operation_xyz
'x,y,z'
loop_
_atom_site_label
_atom_site_fract_x
_atom_site_fract_y
_atom_site_fract_z
Mo1 0.0000 0.5000 0.0000
Mo2 0.0000 0.0000 0.5000
Mo3 0.5000 0.0000 0.0000
Hg1 0.5000 0.5000 0.5000
O1 0.0000 0.0000 0.0000
```

Output
Space group ... Pm-3m

Entry 2
Below is a relaxed structure of HgMo3O, with properties calculated at the PBE+U level.

Cell and atoms, written as CIF:
```
data_HgMo3O
_chemical_formula_sum 'Hg1 Mo3 O1'
_cell_length_a 5.5404
_cell_length_b 5.5404
_cell_length_c 5.5404
_cell_angle_alpha 90.00
_cell_angle_beta 90.00
_cell_angle_gamma 90.00
_space_group_name_H-M_alt 'P 1'
_space_group_IT_number 1
loop_
_space_group_symop_operation_xyz
'x,y,z'
loop_
_atom_site_label
_atom_site_fract_x
_atom_site_fract_y
_atom_site_fract_z
Mo1 0.0000 0.5000 0.0000
Mo2 0.0000 0.0000 0.5000
Mo3 0.5000 0.0000 0.0000
Hg1 0.0000 0.0000 0.0000
O1 0.5000 0.5000 0.5000
```

Output
Space group ... Pm-3m

entry 1 takes first place; second place is 1.479 eV/atom up.

Entry 1
Below is a relaxed structure of Hg2MoO4, with properties calculated at the PBE+U level.

Cell and atoms, written as CIF:
```
data_Hg2MoO4
_chemical_formula_sum 'Hg8 Mo4 O16'
_cell_length_a 9.4726
_cell_length_b 5.2915
_cell_length_c 11.2537
_cell_angle_alpha 80.33
_cell_angle_beta 90.00
_cell_angle_gamma 90.00
_space_group_name_H-M_alt 'P 1'
_space_group_IT_number 1
loop_
_space_group_symop_operation_xyz
'x,y,z'
loop_
_atom_site_label
_atom_site_fract_x
_atom_site_fract_y
_atom_site_fract_z
Hg1 0.8686 0.3307 0.9355
Hg2 0.3686 0.6693 0.5645
Hg3 0.1314 0.6693 0.0645
Hg4 0.6314 0.3307 0.4355
Hg5 0.7930 0.5493 0.5750
Hg6 0.2930 0.4507 0.9250
Hg7 0.2070 0.4507 0.4250
Hg8 0.7070 0.5493 0.0750
Mo1 0.0335 0.9666 0.7166
Mo2 0.5335 0.0334 0.7834
Mo3 0.9665 0.0334 0.2834
Mo4 0.4665 0.9666 0.2166
O1 0.9018 0.7130 0.7143
O2 0.4018 0.2870 0.7857
O3 0.0982 0.2870 0.2857
O4 0.5982 0.7130 0.2143
O5 0.5129 0.7868 0.9097
O6 0.0129 0.2132 0.5903
O7 0.4871 0.2132 0.0903
O8 0.9871 0.7868 0.4097
O9 0.2044 0.8304 0.7127
O10 0.7044 0.1696 0.7873
O11 0.7956 0.1696 0.2873
O12 0.2956 0.8304 0.2127
O13 0.9774 0.9040 0.1427
O14 0.4774 0.0960 0.3573
O15 0.0226 0.0960 0.8573
O16 0.5226 0.9040 0.6427
```

Output
Space group ... P2_1/c

Entry 2
Below is a relaxed structure of Hg2MoO4, with properties calculated at the PBE+U level.

Cell and atoms, written as CIF:
```
data_Hg2MoO4
_chemical_formula_sum 'Hg2 Mo1 O4'
_cell_length_a 4.6035
_cell_length_b 4.6035
_cell_length_c 6.9336
_cell_angle_alpha 109.39
_cell_angle_beta 109.39
_cell_angle_gamma 90.00
_space_group_name_H-M_alt 'P 1'
_space_group_IT_number 1
loop_
_space_group_symop_operation_xyz
'x,y,z'
loop_
_atom_site_label
_atom_site_fract_x
_atom_site_fract_y
_atom_site_fract_z
Hg1 0.7500 0.2500 0.5000
Hg2 0.2500 0.7500 0.5000
Mo1 0.5000 0.5000 0.0000
O1 0.8105 0.3670 0.1775
O2 0.3670 0.8105 0.1775
O3 0.6330 0.6330 0.8225
O4 0.1895 0.1895 0.8225
```

Output
Space group ... I-42m

Entry 3
Below is a relaxed structure of Hg2MoO4, with properties calculated at the PBE+U level.

Cell and atoms, written as CIF:
```
data_Hg2MoO4
_chemical_formula_sum 'Hg4 Mo2 O8'
_cell_length_a 7.5168
_cell_length_b 7.5168
_cell_length_c 5.0542
_cell_angle_alpha 75.04
_cell_angle_beta 75.04
_cell_angle_gamma 107.11
_space_group_name_H-M_alt 'P 1'
_space_group_IT_number 1
loop_
_space_group_symop_operation_xyz
'x,y,z'
loop_
_atom_site_label
_atom_site_fract_x
_atom_site_fract_y
_atom_site_fract_z
Hg1 0.5326 0.7555 0.5211
Hg2 0.2445 0.4674 0.9789
Hg3 0.4674 0.2445 0.4789
Hg4 0.7555 0.5326 0.0211
Mo1 0.0977 0.9023 0.2500
Mo2 0.9023 0.0977 0.7500
O1 0.6700 0.0497 0.7007
O2 0.3300 0.9503 0.2993
O3 0.1827 0.0884 0.8534
O4 0.0884 0.1827 0.3534
O5 0.0497 0.6700 0.2007
O6 0.9116 0.8173 0.6466
O7 0.8173 0.9116 0.1466
O8 0.9503 0.3300 0.7993
```

Output
Space group ... C2/c

entry 1 takes first place; second place is 0.007 eV/atom up.

Entry 1
Below is a relaxed structure of HgMo2O6, with properties calculated at the PBE+U level.

Cell and atoms, written as CIF:
```
data_HgMo2O6
_chemical_formula_sum 'Hg1 Mo2 O6'
_cell_length_a 4.0749
_cell_length_b 6.1509
_cell_length_c 6.8037
_cell_angle_alpha 93.61
_cell_angle_beta 90.01
_cell_angle_gamma 109.34
_space_group_name_H-M_alt 'P 1'
_space_group_IT_number 1
loop_
_space_group_symop_operation_xyz
'x,y,z'
loop_
_atom_site_label
_atom_site_fract_x
_atom_site_fract_y
_atom_site_fract_z
Hg1 0.0000 0.0000 0.0000
Mo1 0.7703 0.5408 0.3224
Mo2 0.2297 0.4592 0.6776
O1 0.2703 0.5407 0.3902
O2 0.7297 0.4593 0.6098
O3 0.0749 0.1495 0.7382
O4 0.6558 0.3117 0.1425
O5 0.9251 0.8505 0.2618
O6 0.3442 0.6883 0.8575
```

Output
Space group ... C2/m

Entry 2
Below is a relaxed structure of HgMo2O6, with properties calculated at the PBE+U level.

Cell and atoms, written as CIF:
```
data_HgMo2O6
_chemical_formula_sum 'Hg1 Mo2 O6'
_cell_length_a 3.7754
_cell_length_b 5.2444
_cell_length_c 10.5171
_cell_angle_alpha 67.40
_cell_angle_beta 79.66
_cell_angle_gamma 68.90
_space_group_name_H-M_alt 'P 1'
_space_group_IT_number 1
loop_
_space_group_symop_operation_xyz
'x,y,z'
loop_
_atom_site_label
_atom_site_fract_x
_atom_site_fract_y
_atom_site_fract_z
Hg1 0.0000 0.5000 0.5000
Mo1 0.1576 0.7865 0.8982
Mo2 0.8424 0.2135 0.1018
O1 0.6831 0.6766 0.9571
O2 0.3169 0.3234 0.0429
O3 0.0147 0.8376 0.1331
O4 0.2485 0.7656 0.7374
O5 0.9853 0.1624 0.8669
O6 0.7515 0.2344 0.2626
```

Output
Space group ... C2/m

entry 2 takes first place; second place is 0.033 eV/atom up.